# CaLa2Si2 | the Alexandria database | PBE | optimized geometry
# E_tot: -5.09 eV/atom
# crystal system: tetragonal
# ΔE_f (raw): -0.55 eV per atom
# volume: 27.838 Å³ per atom
# size of the total moment: 0.000 μB per formula unit
data_CaLa2Si2
_space_group_name_H-M_alt 'P 1'
_space_group_IT_number 1
_cell_length_a 8.2933
_cell_length_b 8.2933
_cell_length_c 4.0474
_cell_angle_alpha 90.00
_cell_angle_beta 90.00
_cell_angle_gamma 90.00
loop_
_space_group_symop_operation_xyz
'x,y,z'
loop_
_atom_site_label
_atom_site_type_symbol
_atom_site_fract_x
_atom_site_fract_y
_atom_site_fract_z
_atom_site_occupancy
Si1 Si 0.1675 0.3325 0.0000 1
Si2 Si 0.8325 0.6675 0.0000 1
Si3 Si 0.6675 0.1675 0.0000 1
Si4 Si 0.3325 0.8325 0.0000 1
Ca1 Ca 0.5000 0.5000 0.0000 1
Ca2 Ca 0.0000 0.0000 0.0000 1
La1 La 0.8649 0.3649 0.5000 1
La2 La 0.6351 0.8649 0.5000 1
La3 La 0.1351 0.6351 0.5000 1
La4 La 0.3649 0.1351 0.5000 1